No. 1
Compound: SrNi2Ag
Source: the Alexandria database
Functional: GGA-PBE
Structure: optimized geometry

Values from the calculation:
**Formation enthalpy at 0 K**: 0.393 eV/atom
**DOS(E_F)**: 0.97 states/eV per atom
**Energy above the most stable polymorph in this dataset**: 390.7 meV per atom

Cell: 6.695 6.695 6.695 Å, 90.00 90.00 90.00°
Space group F-43m (No. 216)
Unique sites:
1 Sr 0.000 0.000 0.000 x4
2 Ni 0.000 0.000 0.500 x4
3 Ni 0.250 0.250 0.250 x4
4 Ag 0.250 0.250 0.750 x4

=====

No. 2
Compound: SrNi2Ag
Source: the Alexandria database
Functional: GGA-PBE
Structure: optimized geometry

Values from the calculation:
**Formation enthalpy at 0 K**: 0.021 eV/atom
**DOS(E_F)**: 0.97 states/eV per atom
**Energy above the most stable polymorph in this dataset**: 18.9 meV per atom

Cell: 7.590 4.382 5.691 Å, 90.00 116.61 90.00°
Space group C2/m (No. 12)
Unique sites:
1 Sr 0.000 0.000 0.000 x2
2 Ni 0.184 0.000 0.552 x4
3 Ag 0.000 0.500 0.500 x2

=====

No. 3
Compound: Sr3NiAg
Source: the Alexandria database
Functional: GGA-PBE
Structure: optimized geometry

Values from the calculation:
**Formation enthalpy at 0 K**: 0.029 eV/atom
**DOS(E_F)**: 0.45 states/eV per atom
**Energy above the most stable polymorph in this dataset**: 156.5 meV per atom

Cell: 5.695 5.695 5.695 Å, 90.00 90.00 90.00°
Space group Pm-3m (No. 221)
Unique sites:
1 Sr 0.000 0.000 0.500 x3
2 Ni 0.000 0.000 0.000 x1
3 Ag 0.500 0.500 0.500 x1

=====

No. 4
Compound: SrNiAg4
Source: the Alexandria database
Functional: GGA-PBE
Structure: optimized geometry

Values from the calculation:
**Formation enthalpy at 0 K**: 0.082 eV/atom
**DOS(E_F)**: 0.56 states/eV per atom

Cell: 7.919 7.919 7.919 Å, 90.00 90.00 90.00°
Space group F-43m (No. 216)
Unique sites:
1 Sr 0.000 0.000 0.000 x4
2 Ni 0.250 0.250 0.250 x4
3 Ag 0.124 0.124 0.624 x16

=====

No. 5
Compound: SrNi2Ag
Source: the Alexandria database
Functional: GGA-PBE
Structure: optimized geometry

Values from the calculation:
**Formation enthalpy at 0 K**: 0.328 eV/atom
**DOS(E_F)**: 0.68 states/eV per atom
**Energy above the most stable polymorph in this dataset**: 325.6 meV per atom

Cell: 4.438 4.438 7.419 Å, 90.00 90.00 90.00°
Space group I4/mmm (No. 139)
Unique sites:
1 Sr 0.000 0.000 0.000 x2
2 Ni 0.000 0.500 0.250 x4
3 Ag 0.000 0.000 0.500 x2

=====

No. 6
Compound: Sr4NiAg
Source: the Alexandria database
Functional: GGA-PBE
Structure: optimized geometry

Values from the calculation:
**Formation enthalpy at 0 K**: -0.060 eV/atom
**DOS(E_F)**: 0.69 states/eV per atom
**Energy above the most stable polymorph in this dataset**: 0.0 meV per atom

Cell: 10.351 15.935 7.456 Å, 90.00 132.86 90.00°
Space group C2/c (No. 15)
Unique sites:
1 Sr 0.157 0.204 0.135 x8
2 Sr 0.248 0.045 0.675 x8
3 Ni 0.000 0.076 0.750 x4
4 Ag 0.000 0.378 0.750 x4

=====

No. 7
Compound: SrNi2Ag
Source: the Alexandria database
Functional: GGA-PBE
Structure: optimized geometry

Values from the calculation:
**Formation enthalpy at 0 K**: 0.002 eV/atom
**DOS(E_F)**: 0.88 states/eV per atom
**Energy above the most stable polymorph in this dataset**: 0.0 meV per atom

Cell: 7.355 4.246 5.834 Å, 90.00 114.76 90.00°
Space group Cm (No. 8)
Unique sites:
1 Sr 0.000 0.000 0.000 x2
2 Ni 0.026 0.500 0.576 x2
3 Ni 0.197 0.000 0.591 x2
4 Ag 0.305 0.500 0.412 x2

=====

No. 8
Compound: Sr6NiAg
Source: the Alexandria database
Functional: GGA-PBE
Structure: optimized geometry

Values from the calculation:
**Formation enthalpy at 0 K**: -0.075 eV/atom
**DOS(E_F)**: 0.74 states/eV per atom

Cell: 7.5205 7.5205 14.4588 Å, 90.00 90.00 120.00°
Space group P-31c (No. 163)
Unique sites:
1 Sr 0.0055 0.3226 0.1201 x12
2 Ni 0.0000 0.0000 0.0000 x2
3 Ag 0.3333 0.6667 0.7500 x2

=====

No. 9
Compound: Sr2Ni2Ag
Source: the Alexandria database
Functional: GGA-PBE
Structure: optimized geometry

Values from the calculation:
**Formation enthalpy at 0 K**: 0.118 eV/atom
**DOS(E_F)**: 0.63 states/eV per atom
**Energy above the most stable polymorph in this dataset**: 109.1 meV per atom

Cell: 5.767 5.767 7.548 Å, 90.00 90.00 90.00°
Space group I4/mmm (No. 139)
Unique sites:
1 Sr 0.000 0.500 0.250 x4
2 Ni 0.000 0.000 0.153 x4
3 Ag 0.000 0.000 0.500 x2

=====

No. 10
Compound: Sr2Ni2Ag
Source: the Alexandria database
Functional: GGA-PBE
Structure: optimized geometry

Values from the calculation:
**Formation enthalpy at 0 K**: 0.103 eV/atom
**DOS(E_F)**: 0.99 states/eV per atom
**Energy above the most stable polymorph in this dataset**: 94.5 meV per atom

Cell: 3.590 3.590 18.456 Å, 90.00 90.00 90.00°
Space group I4/mmm (No. 139)
Unique sites:
1 Sr 0.000 0.000 0.119 x4
2 Ni 0.000 0.500 0.250 x4
3 Ag 0.000 0.000 0.500 x2

=====

No. 11
Compound: SrNi2Ag
Source: the Alexandria database
Functional: GGA-PBE
Structure: optimized geometry

Values from the calculation:
**Formation enthalpy at 0 K**: 0.269 eV/atom
**DOS(E_F)**: 1.09 states/eV per atom
**Energy above the most stable polymorph in this dataset**: 266.9 meV per atom

Cell: 3.387 4.702 9.393 Å, 90.00 90.00 90.00°
Space group Imm2 (No. 44)
Unique sites:
1 Sr 0.000 0.000 0.000 x2
2 Ni 0.000 0.000 0.542 x2
3 Ni 0.000 0.500 0.220 x2
4 Ag 0.000 0.500 0.786 x2

=====

No. 12
Compound: SrNi3Ag
Source: the Alexandria database
Functional: GGA-PBE
Structure: optimized geometry

Values from the calculation:
**Formation enthalpy at 0 K**: 0.729 eV/atom
**DOS(E_F)**: 1.22 states/eV per atom
**Energy above the most stable polymorph in this dataset**: 0.0 meV per atom

Cell: 4.745 4.745 4.745 Å, 90.00 90.00 90.00°
Space group Pm-3m (No. 221)
Unique sites:
1 Sr 0.000 0.000 0.000 x1
2 Ni 0.000 0.500 0.500 x3
3 Ag 0.500 0.500 0.500 x1

=====

- Number 5 is which compound?
  SrNi2Ag

=====

- The highest DOS(E_F) belongs to which entry?
  SrNi3Ag